Entry 1:
Be2GaNi: optimized geometry, PBE-GGA.

Values from the calculation:
Space group   P4/mmm, No. 123
Total magnetization   0.00 μB/f.u.
Formation energy from the elements   -61 kJ/mol of formula units

Cell and atoms, written as POSCAR:
```
Be2GaNi
1.0
2.8619 0.0000 0.0000
0.0000 2.8619 0.0000
0.0000 0.0000 5.1073
Be Ga Ni
2 1 1
direct
0.0000 0.0000 0.2143
0.0000 0.0000 0.7857
0.5000 0.5000 0.5000
0.5000 0.5000 0.0000
```



Entry 2:
Ca2IrPt: optimized geometry, PBE-GGA.

Values from the calculation:
Space group   Imm2, No. 44
Total magnetization   0.00 μB/f.u.
Formation energy from the elements   -149 kJ/mol of formula units

Cell and atoms, written as POSCAR:
```
Ca2IrPt
1.0
3.0905 0.0000 0.0000
0.0000 4.8822 0.0000
0.0000 0.0000 11.3324
Ca Ir Pt
4 2 2
direct
0.0000 0.0000 0.0000
0.0000 0.5000 0.1945
0.5000 0.0000 0.6945
0.5000 0.5000 0.5000
0.0000 0.5000 0.7446
0.5000 0.0000 0.2446
0.0000 0.0000 0.4365
0.5000 0.5000 0.9365
```



Entry 3:
TiIrAu2: optimized geometry, PBE-GGA.

Values from the calculation:
Energy above the lowest structure with this stoichiometry   0 meV/atom
Space group   Fm-3m, No. 225
Total magnetization   0.00 μB/f.u.
Formation energy from the elements   -24 kJ/mol of formula units

Cell and atoms, written as POSCAR:
```
TiIrAu2
1.0
6.4271 0.0000 0.0000
0.0000 6.4271 0.0000
0.0000 0.0000 6.4271
Ti Ir Au
4 4 8
direct
0.0000 0.0000 0.0000
0.0000 0.5000 0.5000
0.5000 0.0000 0.5000
0.5000 0.5000 0.0000
0.0000 0.0000 0.5000
0.0000 0.5000 0.0000
0.5000 0.0000 0.0000
0.5000 0.5000 0.5000
0.2500 0.2500 0.2500
0.2500 0.2500 0.7500
0.2500 0.7500 0.2500
0.2500 0.7500 0.7500
0.7500 0.2500 0.2500
0.7500 0.2500 0.7500
0.7500 0.7500 0.2500
0.7500 0.7500 0.7500
```



Entry 4:
Ca2Pm2Zn3: optimized geometry, PBE-GGA.

Values from the calculation:
Space group   R-3m, No. 166
Total magnetization   0.00 μB/f.u.
Formation energy from the elements   -134 kJ/mol of formula units

Cell and atoms, written as POSCAR:
```
Ca2Pm2Zn3
1.0
2.5649 1.4809 8.4896
-2.5649 1.4809 8.4896
0.0000 -2.9617 8.4896
Ca Pm Zn
2 2 3
direct
0.1270 0.1270 0.1270
0.8730 0.8730 0.8730
0.3777 0.3777 0.3777
0.6223 0.6223 0.6223
0.0000 0.0000 0.0000
0.2555 0.2555 0.2555
0.7445 0.7445 0.7445
```



Entry 5:
Tm4GaSnN: optimized geometry, PBE-GGA.

Values from the calculation:
Space group   Cmcm, No. 63
Energy relative to the elements, uncorrected   -917 meV per atom
Total magnetization   0.00 μB/f.u.

Cell and atoms, written as POSCAR:
```
Tm4GaSnN
1.0
3.2412 -7.7598 0.0000
3.2412 7.7598 0.0000
0.0000 0.0000 6.4865
Tm Ga Sn N
8 2 2 2
direct
0.0000 0.5000 0.0000
0.0000 0.5000 0.5000
0.0817 0.9183 0.7500
0.4088 0.5912 0.7500
0.5000 0.0000 0.0000
0.5000 0.0000 0.5000
0.5912 0.4088 0.2500
0.9183 0.0817 0.2500
0.1151 0.8849 0.2500
0.8849 0.1151 0.7500
0.3929 0.6071 0.2500
0.6071 0.3929 0.7500
0.2514 0.7486 0.7500
0.7486 0.2514 0.2500
```



Entry 6:
Zr12CoPd6: optimized geometry, PBE-GGA.

Values from the calculation:
Space group   R-3, No. 148
Total magnetization   0.71 μB/f.u.
Formation energy from the elements   -586 kJ/mol of formula units

Cell and atoms, written as POSCAR:
```
Zr12CoPd6
1.0
5.0582 2.9203 4.2234
-5.0582 2.9203 4.2234
0.0000 -5.8407 4.2234
Zr Co Pd
12 1 6
direct
0.0408 0.3044 0.9323
0.0677 0.9592 0.6956
0.1412 0.3641 0.4734
0.3044 0.9323 0.0408
0.3641 0.4734 0.1412
0.4734 0.1412 0.3641
0.5266 0.8588 0.6359
0.6359 0.5266 0.8588
0.6956 0.0677 0.9592
0.8588 0.6359 0.5266
0.9323 0.0408 0.3044
0.9592 0.6956 0.0677
0.5000 0.5000 0.5000
0.2328 0.7609 0.3905
0.2391 0.6095 0.7672
0.3905 0.2328 0.7609
0.6095 0.7672 0.2391
0.7609 0.3905 0.2328
0.7672 0.2391 0.6095
```



Entry 7:
CaEuGaPb: optimized geometry, PBE-GGA.

Values from the calculation:
Space group   F-43m, No. 216
Total magnetization   7.08 μB/f.u.
Formation energy from the elements   -183 kJ/mol of formula units

Cell and atoms, written as POSCAR:
```
CaEuGaPb
1.0
7.7287 0.0000 0.0000
0.0000 7.7287 0.0000
0.0000 0.0000 7.7287
Ca Eu Ga Pb
4 4 4 4
direct
0.0000 0.0000 0.0000
0.0000 0.5000 0.5000
0.5000 0.0000 0.5000
0.5000 0.5000 0.0000
0.0000 0.0000 0.5000
0.0000 0.5000 0.0000
0.5000 0.0000 0.0000
0.5000 0.5000 0.5000
0.2500 0.2500 0.2500
0.2500 0.7500 0.7500
0.7500 0.2500 0.7500
0.7500 0.7500 0.2500
0.2500 0.2500 0.7500
0.2500 0.7500 0.2500
0.7500 0.2500 0.2500
0.7500 0.7500 0.7500
```



Entry 8:
La2TeCl: optimized geometry, PBE-GGA.

Values from the calculation:
Energy above the lowest structure with this stoichiometry   0 meV/atom
Space group   R-3m, No. 166
Energy relative to the elements, uncorrected   -1552 meV per atom
Total magnetization   0.00 μB/f.u.

Cell and atoms, written as POSCAR:
```
La2TeCl
1.0
4.3928 0.0000 0.0000
-2.1964 3.8043 0.0000
0.0000 0.0000 21.1753
La Te Cl
6 3 3
direct
0.0000 0.0000 0.2407
0.0000 0.0000 0.7593
0.3333 0.6667 0.4259
0.3333 0.6667 0.9074
0.6667 0.3333 0.0926
0.6667 0.3333 0.5741
0.0000 0.0000 0.0000
0.3333 0.6667 0.6667
0.6667 0.3333 0.3333
0.0000 0.0000 0.5000
0.3333 0.6667 0.1667
0.6667 0.3333 0.8333
```